CuS5I | PBE | optimized geometry Values from VASP.

Output
total DFT energy (no corrections): -23.757 eV per formula unit
magnetization: 0.000 μB per formula unit
DOS at the Fermi energy: 0.851 states/eV/atom

```
&SYSTEM
  ibrav = 0, nat = 7, ntyp = 3
/
ATOMIC_SPECIES
Cu 63.55 Cu.upf
S 32.06 S.upf
I 126.90 I.upf
CELL_PARAMETERS angstrom
-4.613 2.717 4.513
4.613 -2.717 4.513
4.613 2.717 -4.513
ATOMIC_POSITIONS crystal
Cu 0.277 0.777 0.500
S 0.055 0.667 0.612
S 0.512 0.012 0.500
S 0.055 0.442 0.388
S 0.518 0.347 0.172
S 0.175 0.347 0.828
I 0.938 0.938 0.000
```